Record 1
Material: ScCrSCl2
Method: DFT, GGA-PBE
State: optimized geometry

## Properties
E = -5.368 eV/atom
Formation energy (no corrections) = -0.613 eV per atom
Space-group type = No. 123
Crystal system = tetragonal

```
ScCrSCl2
1.0
4.7002 0.0000 0.0000
0.0000 4.7002 0.0000
0.0000 0.0000 4.9127
Cr S Cl Sc
1 1 2 1
Cartesian
0.0000 0.0000 0.0000 Cr
0.0000 0.0000 2.4563 S
2.3501 0.0000 0.0000 Cl
0.0000 2.3501 0.0000 Cl
2.3501 2.3501 2.4563 Sc
```



Record 2
Material: FeSi2Au
Method: DFT, GGA-PBE
State: optimized geometry

## Properties
E = -5.406 eV/atom
Formation energy (no corrections) = 0.240 eV per atom
Space-group type = No. 71
Crystal system = orthorhombic

```
FeSi2Au
1.0
-0.6259 3.5194 3.6390
-2.0659 -2.1178 4.1554
3.9542 0.4105 -3.1963
Au Fe Si
1 1 2
Cartesian
0.2712 -0.5032 2.4282 Au
0.9912 2.3154 2.1700 Fe
-1.4074 0.7329 4.0754 Si
-2.6302 1.3696 7.6162 Si
```



Record 3
Material: TmThSb
Method: DFT, GGA-PBE
State: optimized geometry

## Properties
E = -5.613 eV/atom
Formation energy (no corrections) = -0.275 eV per atom
Space-group type = No. 156
Crystal system = trigonal

```
TmThSb
1.0
3.8431 0.0000 0.0000
0.0000 5.1851 0.0000
0.0000 -2.5926 4.4905
Sb Tm Th
1 1 1
Cartesian
1.6286 0.0000 2.9936 Sb
2.0765 2.5926 1.4968 Tm
0.1381 0.0000 0.0000 Th
```